RbNbNi | GGA-PBE | optimized geometry

abc: 4.695 4.695 4.695
angles: 60.00 60.00 60.00
Fractional positions:
1 Rb 0.000 0.000 0.000
2 Nb 0.500 0.500 0.500
3 Ni 0.750 0.750 0.750

## Properties
**Polymorph energy (0 for the lowest one)**: 0.0000 eV/atom
**M_tot**: 1.86 μB per formula unit

RbNbNiTe3 | GGA-PBE | optimized geometry

abc: 9.476 3.873 10.503
angles: 90.00 114.88 90.00
Fractional positions:
1 Rb 0.006 0.250 0.282
2 Rb 0.994 0.750 0.718
3 Nb 0.464 0.250 0.182
4 Nb 0.536 0.750 0.818
5 Ni 0.478 0.750 0.392
6 Ni 0.522 0.250 0.608
7 Te 0.242 0.750 0.154
8 Te 0.325 0.750 0.548
9 Te 0.342 0.250 0.877
10 Te 0.658 0.750 0.123
11 Te 0.675 0.250 0.452
12 Te 0.758 0.250 0.846

## Properties
**Polymorph energy (0 for the lowest one)**: 0.0000 eV/atom
**M_tot**: 0.00 μB per formula unit

RbNbNiTe3 | GGA-PBE | optimized geometry

abc: 8.939 8.939 10.372
angles: 90.00 90.00 155.43
Fractional positions:
1 Rb 0.248 0.752 0.750
2 Rb 0.752 0.248 0.250
3 Nb 0.500 0.500 0.000
4 Nb 0.500 0.500 0.500
5 Ni 0.024 0.976 0.250
6 Ni 0.976 0.024 0.750
7 Te 0.114 0.886 0.062
8 Te 0.114 0.886 0.438
9 Te 0.429 0.571 0.250
10 Te 0.571 0.429 0.750
11 Te 0.886 0.114 0.562
12 Te 0.886 0.114 0.938

## Properties
**Polymorph energy (0 for the lowest one)**: 0.0411 eV/atom
**M_tot**: 0.00 μB per formula unit

NbReNi | GGA-PBE | optimized geometry

abc: 4.102 4.102 4.102
angles: 60.00 60.00 60.00
Fractional positions:
1 Nb 0.000 0.000 0.000
2 Re 0.500 0.500 0.500
3 Ni 0.250 0.250 0.250

## Properties
**Formation energy**: 0.5194 eV per atom
**Polymorph energy (0 for the lowest one)**: 0.0000 eV/atom
**M_tot**: 0.03 μB per formula unit

NbRe2Ni | GGA-PBE | optimized geometry

abc: 4.374 4.374 4.374
angles: 60.00 60.00 60.00
Fractional positions:
1 Nb 0.000 0.000 0.000
2 Re 0.250 0.250 0.250
3 Re 0.500 0.500 0.500
4 Ni 0.750 0.750 0.750

## Properties
**Formation energy**: 0.0714 eV per atom
**M_tot**: 0.02 μB per formula unit

NbReNi6 | GGA-PBE | optimized geometry

abc: 4.227 5.050 4.464
angles: 90.00 90.00 90.00
Fractional positions:
1 Nb 0.000 0.000 0.000
2 Re 0.500 0.500 0.689
3 Ni 0.000 0.260 0.507
4 Ni 0.000 0.500 0.003
5 Ni 0.000 0.740 0.507
6 Ni 0.500 0.000 0.665
7 Ni 0.500 0.258 0.186
8 Ni 0.500 0.742 0.186

## Properties
**Formation energy**: -0.1653 eV per atom
**M_tot**: 0.02 μB per formula unit

Nb2Ni3S8 | GGA-PBE | optimized geometry

abc: 10.138 14.159 3.351
angles: 90.00 90.00 90.00
Fractional positions:
1 Nb 0.201 0.118 0.000
2 Nb 0.299 0.618 0.000
3 Nb 0.701 0.382 0.000
4 Nb 0.799 0.882 0.000
5 Ni 0.000 0.000 0.500
6 Ni 0.129 0.726 0.500
7 Ni 0.371 0.226 0.500
8 Ni 0.500 0.500 0.500
9 Ni 0.629 0.774 0.500
10 Ni 0.871 0.274 0.500
11 S 0.026 0.156 0.500
12 S 0.059 0.633 0.000
13 S 0.218 0.990 0.500
14 S 0.249 0.286 0.000
15 S 0.251 0.786 0.000
16 S 0.282 0.490 0.500
17 S 0.441 0.133 0.000
18 S 0.474 0.656 0.500
19 S 0.526 0.344 0.500
20 S 0.559 0.867 0.000
21 S 0.718 0.510 0.500
22 S 0.749 0.214 0.000
23 S 0.751 0.714 0.000
24 S 0.782 0.010 0.500
25 S 0.941 0.367 0.000
26 S 0.974 0.844 0.500

## Properties
**Energy**: -79.12 eV/f.u.
**M_tot**: 0.00 μB per formula unit

Nb9Ni2S6 | GGA-PBE | optimized geometry

abc: 10.269 10.269 3.403
angles: 90.00 90.00 120.00
Fractional positions:
1 Nb 0.000 0.454 0.000
2 Nb 0.196 0.737 0.500
3 Nb 0.263 0.459 0.500
4 Nb 0.454 0.000 0.000
5 Nb 0.459 0.263 0.500
6 Nb 0.541 0.804 0.500
7 Nb 0.546 0.546 0.000
8 Nb 0.737 0.196 0.500
9 Nb 0.804 0.541 0.500
10 Ni 0.333 0.667 0.000
11 Ni 0.667 0.333 0.000
12 S 0.000 0.274 0.500
13 S 0.000 0.701 0.000
14 S 0.274 0.000 0.500
15 S 0.299 0.299 0.000
16 S 0.701 0.000 0.000
17 S 0.726 0.726 0.500

## Properties
**Energy**: -139.78 eV/f.u.
**M_tot**: 0.00 μB per formula unit

Nb2NiSe2S4 | GGA-PBE | optimized geometry

abc: 6.707 6.707 10.420
angles: 120.10 120.10 28.62
Fractional positions:
1 Nb 0.178 0.178 0.291
2 Nb 0.822 0.822 0.709
3 Ni 0.500 0.500 0.000
4 Se 0.499 0.499 0.223
5 Se 0.501 0.501 0.777
6 S 0.168 0.168 0.535
7 S 0.302 0.302 0.873
8 S 0.698 0.698 0.127
9 S 0.832 0.832 0.465

## Properties
**Polymorph energy (0 for the lowest one)**: 0.0000 eV/atom
**M_tot**: 0.00 μB per formula unit

Nb2NiSe2S4 | GGA-PBE | optimized geometry

abc: 6.643 6.643 10.467
angles: 119.87 119.87 28.77
Fractional positions:
1 Nb 0.173 0.173 0.280
2 Nb 0.827 0.827 0.720
3 Ni 0.500 0.500 0.000
4 Se 0.154 0.154 0.530
5 Se 0.846 0.846 0.470
6 S 0.300 0.300 0.878
7 S 0.492 0.492 0.784
8 S 0.508 0.508 0.216
9 S 0.700 0.700 0.122

## Properties
**Polymorph energy (0 for the lowest one)**: 0.0019 eV/atom
**M_tot**: 0.01 μB per formula unit

Nb2NiSb | GGA-PBE | optimized geometry

abc: 4.595 4.595 4.595
angles: 60.00 60.00 60.00
Fractional positions:
1 Nb 0.000 0.000 0.000
2 Nb 0.250 0.250 0.250
3 Ni 0.750 0.750 0.750
4 Sb 0.500 0.500 0.500

## Properties
**Energy**: -29.27 eV/f.u.
**M_tot**: 0.04 μB per formula unit

NbTcNiSb | GGA-PBE | optimized geometry

abc: 4.490 4.490 4.490
angles: 60.00 60.00 60.00
Fractional positions:
1 Nb 0.000 0.000 0.000
2 Tc 0.250 0.250 0.250
3 Ni 0.750 0.750 0.750
4 Sb 0.500 0.500 0.500

## Properties
**Polymorph energy (0 for the lowest one)**: 0.0000 eV/atom
**M_tot**: 0.93 μB per formula unit

NbZnNiSb | GGA-PBE | optimized geometry

abc: 4.543 4.543 4.543
angles: 60.00 60.00 60.00
Fractional positions:
1 Nb 0.000 0.000 0.000
2 Zn 0.750 0.750 0.750
3 Ni 0.500 0.500 0.500
4 Sb 0.250 0.250 0.250

## Properties
**Energy**: -20.50 eV/f.u.
**M_tot**: 0.61 μB per formula unit

ScNb2Ni | GGA-PBE | optimized geometry

abc: 4.566 4.566 4.566
angles: 60.00 60.00 60.00
Fractional positions:
1 Sc 0.000 0.000 0.000
2 Nb 0.500 0.500 0.500
3 Nb 0.750 0.750 0.750
4 Ni 0.250 0.250 0.250

## Properties
**Formation energy**: 0.0389 eV per atom
**M_tot**: 0.01 μB per formula unit

Sc2NbNi | GGA-PBE | optimized geometry

abc: 4.640 4.640 4.640
angles: 60.00 60.00 60.00
Fractional positions:
1 Sc 0.000 0.000 0.000
2 Sc 0.250 0.250 0.250
3 Nb 0.750 0.750 0.750
4 Ni 0.500 0.500 0.500

## Properties
**Formation energy**: 0.1763 eV per atom
**M_tot**: 0.61 μB per formula unit

Nb3NiSe6 | GGA-PBE | optimized geometry

abc: 6.050 6.050 12.436
angles: 90.00 90.00 120.00
Fractional positions:
1 Nb 0.000 0.000 0.000
2 Nb 0.000 0.000 0.500
3 Nb 0.333 0.667 0.000
4 Nb 0.333 0.667 0.500
5 Nb 0.667 0.333 0.000
6 Nb 0.667 0.333 0.500
7 Ni 0.333 0.667 0.250
8 Ni 0.667 0.333 0.750
9 Se 0.004 0.334 0.865
10 Se 0.004 0.671 0.635
11 Se 0.329 0.334 0.635
12 Se 0.329 0.996 0.865
13 Se 0.334 0.004 0.135
14 Se 0.334 0.329 0.365
15 Se 0.666 0.671 0.865
16 Se 0.666 0.996 0.635
17 Se 0.671 0.004 0.365
18 Se 0.671 0.666 0.135
19 Se 0.996 0.329 0.135
20 Se 0.996 0.666 0.365

## Properties
**Energy**: -64.46 eV/f.u.
**M_tot**: 1.53 μB per formula unit

Nb4Si2Ni7 | GGA-PBE | optimized geometry

abc: 9.073 9.073 9.073
angles: 30.37 30.37 30.37
Fractional positions:
1 Nb 0.149 0.149 0.149
2 Nb 0.332 0.332 0.332
3 Nb 0.668 0.668 0.668
4 Nb 0.851 0.851 0.851
5 Si 0.047 0.047 0.047
6 Si 0.953 0.953 0.953
7 Ni 0.089 0.590 0.590
8 Ni 0.410 0.410 0.911
9 Ni 0.410 0.911 0.410
10 Ni 0.500 0.500 0.500
11 Ni 0.590 0.089 0.590
12 Ni 0.590 0.590 0.089
13 Ni 0.911 0.410 0.410

## Properties
**Energy**: -93.68 eV/f.u.
**M_tot**: 0.36 μB per formula unit

Nb6Si6Ni | GGA-PBE | optimized geometry

abc: 9.162 9.162 9.162
angles: 31.78 31.78 31.78
Fractional positions:
1 Nb 0.049 0.049 0.049
2 Nb 0.150 0.150 0.150
3 Nb 0.337 0.337 0.337
4 Nb 0.663 0.663 0.663
5 Nb 0.850 0.850 0.850
6 Nb 0.951 0.951 0.951
7 Si 0.089 0.593 0.593
8 Si 0.407 0.407 0.911
9 Si 0.407 0.911 0.407
10 Si 0.593 0.089 0.593
11 Si 0.593 0.593 0.089
12 Si 0.911 0.407 0.407
13 Ni 0.500 0.500 0.500

## Properties
**Energy**: -104.36 eV/f.u.
**M_tot**: 0.00 μB per formula unit

Nb6Si7Ni16 | GGA-PBE | optimized geometry

abc: 8.003 8.003 8.003
angles: 60.00 60.00 60.00
Fractional positions:
1 Nb 0.218 0.218 0.782
2 Nb 0.218 0.782 0.218
3 Nb 0.218 0.782 0.782
4 Nb 0.782 0.218 0.218
5 Nb 0.782 0.218 0.782
6 Nb 0.782 0.782 0.218
7 Si 0.000 0.000 0.000
8 Si 0.000 0.000 0.500
9 Si 0.000 0.500 0.000
10 Si 0.000 0.500 0.500
11 Si 0.500 0.000 0.000
12 Si 0.500 0.000 0.500
13 Si 0.500 0.500 0.000
14 Ni 0.158 0.614 0.614
15 Ni 0.169 0.169 0.169
16 Ni 0.169 0.169 0.492
17 Ni 0.169 0.492 0.169
18 Ni 0.386 0.386 0.386
19 Ni 0.386 0.386 0.842
20 Ni 0.386 0.842 0.386
21 Ni 0.492 0.169 0.169
22 Ni 0.508 0.831 0.831
23 Ni 0.614 0.158 0.614
24 Ni 0.614 0.614 0.158
25 Ni 0.614 0.614 0.614
26 Ni 0.831 0.508 0.831
27 Ni 0.831 0.831 0.508
28 Ni 0.831 0.831 0.831
29 Ni 0.842 0.386 0.386

## Properties
**Polymorph energy (0 for the lowest one)**: 0.0918 eV/atom
**M_tot**: 0.01 μB per formula unit

Nb2SiNi | GGA-PBE | optimized geometry

abc: 4.402 4.402 4.402
angles: 60.00 60.00 60.00
Fractional positions:
1 Nb 0.000 0.000 0.000
2 Nb 0.250 0.250 0.250
3 Si 0.500 0.500 0.500
4 Ni 0.750 0.750 0.750

## Properties
**Energy**: -31.05 eV/f.u.
**M_tot**: 0.01 μB per formula unit